1.
DFT (GGA-PBE) results for a relaxed RbBeW crystal.

Output
symmetry: F-43m
energy above the lowest structure with this stoichiometry: 3.22 kcal/mol of atoms
calculated volume: 25.7 Å³ per atom

Structure (POSCAR):
```
RbBeW
1.0
0.000 3.378 3.378
3.378 0.000 3.378
3.378 3.378 0.000
Rb Be W
1 1 1
Direct
0.000 0.000 0.000
0.500 0.500 0.500
0.750 0.750 0.750
```

=====

2.
DFT (GGA-PBE) results for a relaxed RbBeZn crystal.

Output
symmetry: F-43m
energy above the lowest structure with this stoichiometry: 5.62 kcal/mol of atoms
calculated volume: 40.2 Å³ per atom

Structure (POSCAR):
```
RbBeZn
1.0
0.000 3.921 3.921
3.921 0.000 3.921
3.921 3.921 0.000
Rb Be Zn
1 1 1
Direct
0.000 0.000 0.000
0.750 0.750 0.750
0.250 0.250 0.250
```

=====

3.
DFT (GGA-PBE) results for a relaxed RbBeZn crystal.

Output
symmetry: F-43m
energy above the lowest structure with this stoichiometry: 0.00 kcal/mol of atoms
calculated volume: 31.5 Å³ per atom

Structure (POSCAR):
```
RbBeZn
1.0
0.000 3.615 3.615
3.615 0.000 3.615
3.615 3.615 0.000
Rb Be Zn
1 1 1
Direct
0.000 0.000 0.000
0.250 0.250 0.250
0.500 0.500 0.500
```

=====

4.
DFT (GGA-PBE) results for a relaxed Rb2Be2Zn3 crystal.

Output
symmetry: R3m
VASP energy: -10.98 eV per cell
calculated volume: 26.7 Å³ per atom

Structure (POSCAR):
```
Rb2Be2Zn3
1.0
2.087 1.205 12.375
-2.087 1.205 12.375
0.000 -2.410 12.375
Rb Be Zn
2 2 3
Direct
0.000 0.000 0.000
0.445 0.445 0.445
0.192 0.192 0.192
0.599 0.599 0.599
0.258 0.258 0.258
0.537 0.537 0.537
0.855 0.855 0.855
```